## w
A plane-wave DFT calculation with PBE-GGA was carried out for HgSe2Cl after structural relaxation.

Lattice parameters (Å, degrees): 3.8165 3.8177 8.2253 90.00 90.00 90.00
Sites, in units of the cell vectors:
Se  0.5000  0.5000  0.0588
Se  0.0000  0.0000  0.0916
Cl  0.0000  0.0000  0.6163
Hg  0.5000  0.5000  0.7334

***

## x
A plane-wave DFT calculation with PBE-GGA was carried out for HgSe2Cl after structural relaxation.

Lattice parameters (Å, degrees): 3.6277 3.9669 7.5836 90.22 90.00 90.00
Sites, in units of the cell vectors:
Se  0.0000  0.2466  0.0101
Se  0.5000  0.2491  0.2313
Hg  0.5000  0.7507  0.7537
Cl  0.0000  0.2537  0.5049

***

## y
A plane-wave DFT calculation with PBE-GGA was carried out for HgSe2Cl after structural relaxation.

Lattice parameters (Å, degrees): 2.7374 2.7374 14.6436 90.00 90.00 90.00
Sites, in units of the cell vectors:
Hg  0.5000  0.5000  0.7500
Se  0.0000  0.0000  0.9825
Se  0.0000  0.0000  0.5175
Cl  0.5000  0.5000  0.2500

***

It turns out w is the most stable, with the second structure 0.053 eV/atom higher.

***

## w
A plane-wave DFT calculation with PBE-GGA was carried out for HgSe2Cl after structural relaxation.

Lattice parameters (Å, degrees): 3.9987 3.9987 6.3433 90.00 90.00 90.00
Each line ends with the local moment (μB).
Sites, in units of the cell vectors:
Se  0.0000  0.0000  0.5627  0.15
Se  0.0000  0.0000  0.9373  0.15
Cl  0.5000  0.5000  0.2500  0.03
Hg  0.5000  0.5000  0.7500  0.00

***

## x
A plane-wave DFT calculation with PBE-GGA was carried out for HgSe2Cl after structural relaxation.

Lattice parameters (Å, degrees): 3.8447 3.8447 7.3398 90.00 90.00 90.00
Sites, in units of the cell vectors:
Cl  0.5000  0.0000  0.5000
Hg  0.0000  0.5000  0.5000
Se  0.0000  0.0000  0.0000
Se  0.5000  0.5000  0.0000

***

It turns out x is the most stable, with the second structure 0.238 eV/atom higher.

***

## w
A plane-wave DFT calculation with PBE-GGA was carried out for HgSe2Cl after structural relaxation.

Lattice parameters (Å, degrees): 7.7639 7.7639 2.8334 90.00 90.00 140.56
Sites, in units of the cell vectors:
Cl  0.5000  0.0000  0.5000
Se  0.5000  0.5000  0.0000
Se  0.0000  0.0000  0.0000
Hg  0.0000  0.5000  0.5000

***

## x
A plane-wave DFT calculation with PBE-GGA was carried out for HgSe2Cl after structural relaxation.

Lattice parameters (Å, degrees): 7.7654 7.7654 7.7654 151.78 151.02 40.89
Sites, in units of the cell vectors:
Cl  0.7500  0.2500  0.5000
Se  0.0114  0.0114  0.0000
Se  0.4886  0.4886  0.0000
Hg  0.2500  0.7500  0.5000

***

It turns out x is the most stable, with the second structure 0.094 eV/atom higher.

***

## w
A plane-wave DFT calculation with PBE-GGA was carried out for Hg2SeCl after structural relaxation.

Lattice parameters (Å, degrees): 7.1092 7.1092 7.1092 34.65 34.65 34.65
Sites, in units of the cell vectors:
Cl  0.7500  0.7500  0.7500
Se  0.2500  0.2500  0.2500
Hg  0.5090  0.5090  0.5090
Hg  0.9910  0.9910  0.9910

***

## x
A plane-wave DFT calculation with PBE-GGA was carried out for Hg2SeCl after structural relaxation.

Lattice parameters (Å, degrees): 3.6139 3.6139 7.3131 90.00 90.00 90.00
Sites, in units of the cell vectors:
Cl  0.5000  0.5000  0.7500
Hg  0.0000  0.0000  0.0199
Hg  0.0000  0.0000  0.4801
Se  0.5000  0.5000  0.2500

***

## y
A plane-wave DFT calculation with PBE-GGA was carried out for Hg2SeCl after structural relaxation.

Lattice parameters (Å, degrees): 3.2768 4.7858 6.3681 90.00 90.00 90.00
Sites, in units of the cell vectors:
Cl  0.0000  0.5000  0.5000
Hg  0.0000  0.0000  0.0000
Hg  0.5000  0.5000  0.0000
Se  0.5000  0.0000  0.5000

***

## z
A plane-wave DFT calculation with PBE-GGA was carried out for Hg2SeCl after structural relaxation.

Lattice parameters (Å, degrees): 4.3197 4.3197 7.2544 89.34 89.34 59.26
Sites, in units of the cell vectors:
Se  0.5465  0.5465  0.2487
Cl  0.8640  0.8640  0.7079
Hg  0.8812  0.8812  0.0713
Hg  0.2083  0.2083  0.4721

***

It turns out w is the most stable, with the second structure 0.007 eV/atom higher.

***

## w
A plane-wave DFT calculation with PBE-GGA was carried out for Hg2SeCl after structural relaxation.

Lattice parameters (Å, degrees): 4.1812 4.1812 5.7904 90.00 90.00 90.00
Sites, in units of the cell vectors:
Se  0.0000  0.0000  0.3751
Cl  0.5000  0.5000  0.8747
Hg  0.0000  0.0000  0.8754
Hg  0.5000  0.5000  0.3748

***

## x
A plane-wave DFT calculation with PBE-GGA was carried out for Hg2SeCl after structural relaxation.

Lattice parameters (Å, degrees): 5.0896 5.0896 5.0896 60.00 60.00 60.00
Sites, in units of the cell vectors:
Cl  0.0000  0.0000  0.0000
Se  0.5000  0.5000  0.5000
Hg  0.2500  0.2500  0.2500
Hg  0.7500  0.7500  0.7500

***

## y
A plane-wave DFT calculation with PBE-GGA was carried out for Hg2SeCl after structural relaxation.

Lattice parameters (Å, degrees): 3.2493 3.2493 9.5208 90.00 90.00 90.00
Sites, in units of the cell vectors:
Hg  0.0000  0.0000  0.9937
Hg  0.5000  0.5000  0.2306
Cl  0.5000  0.5000  0.8136
Se  0.0000  0.0000  0.4621

***

It turns out w is the most stable, with the second structure 0.249 eV/atom higher.

***

## w
A plane-wave DFT calculation with PBE-GGA was carried out for Hg2SeCl after structural relaxation.

Lattice parameters (Å, degrees): 7.2183 7.2183 7.2183 35.14 35.14 35.14
Sites, in units of the cell vectors:
Hg  0.2368  0.2368  0.2368
Hg  0.0016  0.0016  0.0016
Cl  0.7343  0.7343  0.7343
Se  0.5274  0.5274  0.5274

***

## x
A plane-wave DFT calculation with PBE-GGA was carried out for Hg2SeCl after structural relaxation.

Lattice parameters (Å, degrees): 6.9156 7.1791 9.9551 103.96 102.91 110.10
Sites, in units of the cell vectors:
Se  0.9706  0.2206  0.4412
Se  0.6640  0.9140  0.8279
Se  0.3360  0.0860  0.1721
Se  0.0294  0.7794  0.5588
Cl  0.8055  0.5555  0.1110
Cl  0.1945  0.4445  0.8890
Cl  0.4361  0.6861  0.3722
Cl  0.5639  0.3139  0.6278
Hg  0.6901  0.4260  0.3709
Hg  0.3099  0.5740  0.6291
Hg  0.0522  0.2895  0.1405
Hg  0.4116  0.1490  0.8595
Hg  0.9478  0.7105  0.8595
Hg  0.5884  0.8510  0.1405
Hg  0.1808  0.9449  0.3709
Hg  0.8192  0.0551  0.6291

***

## y
A plane-wave DFT calculation with PBE-GGA was carried out for Hg2SeCl after structural relaxation.

Lattice parameters (Å, degrees): 3.9483 4.3762 6.9637 94.28 90.00 90.00
Sites, in units of the cell vectors:
Hg  0.0000  0.9706  0.0275
Hg  0.0000  0.5294  0.4725
Se  0.5000  0.2500  0.2500
Cl  0.5000  0.7500  0.7500

***

## z
A plane-wave DFT calculation with PBE-GGA was carried out for Hg2SeCl after structural relaxation.

Lattice parameters (Å, degrees): 7.4571 7.4571 7.4571 150.07 148.92 43.69
Sites, in units of the cell vectors:
Hg  0.9867  0.9867  0.0000
Hg  0.6963  0.1963  0.5000
Se  0.5362  0.5362  0.0000
Cl  0.2809  0.7809  0.5000

***

It turns out x is the most stable, with the second structure 0.117 eV/atom higher.

***

## w
A plane-wave DFT calculation with PBE-GGA was carried out for Hg2SeCl after structural relaxation.

Lattice parameters (Å, degrees): 4.4604 4.4604 7.8060 90.00 90.00 126.16
Sites, in units of the cell vectors:
Hg  0.0000  0.0000  0.4851
Hg  0.0000  0.0000  0.0149
Cl  0.5000  0.5000  0.7500
Se  0.5000  0.5000  0.2500

***

## x
A plane-wave DFT calculation with PBE-GGA was carried out for Hg2SeCl after structural relaxation.

Lattice parameters (Å, degrees): 4.2388 4.2388 20.0084 90.00 90.00 120.00
Sites, in units of the cell vectors:
Hg  0.3328  0.9954  0.5926
Hg  0.6626  0.6672  0.2593
Hg  0.6672  0.6626  0.7407
Hg  0.0046  0.3374  0.9260
Hg  0.3374  0.0046  0.0740
Hg  0.9954  0.3328  0.4074
Se  0.0000  0.3286  0.6667
Se  0.3286  0.0000  0.3333
Se  0.6714  0.6714  0.0000
Cl  0.6620  0.6620  0.5000
Cl  0.3380  0.0000  0.8333
Cl  0.0000  0.3380  0.1667

***

## y
A plane-wave DFT calculation with PBE-GGA was carried out for Hg2SeCl after structural relaxation.

Lattice parameters (Å, degrees): 4.1639 4.1639 7.4859 73.85 73.85 60.00
Sites, in units of the cell vectors:
Cl  0.4919  0.4919  0.5242
Hg  0.2622  0.2622  0.2135
Hg  0.0751  0.0751  0.7748
Se  0.6709  0.6709  0.9874

***

## z
A plane-wave DFT calculation with PBE-GGA was carried out for Hg2SeCl after structural relaxation.

Lattice parameters (Å, degrees): 7.0223 5.8015 4.4035 64.33 95.09 129.71
Sites, in units of the cell vectors:
Se  0.0000  0.5000  0.5000
Hg  0.5000  0.0000  0.5000
Hg  0.0000  0.0000  0.0000
Cl  0.5000  0.5000  0.0000

***

It turns out x is the most stable, with the second structure 0.039 eV/atom higher.

***

## w
A plane-wave DFT calculation with PBE-GGA was carried out for Hg2Se2Cl after structural relaxation.

Lattice parameters (Å, degrees): 7.9083 7.9083 4.1255 90.00 90.00 90.00
Each line ends with the local moment (μB).
Sites, in units of the cell vectors:
Cl  0.0000  0.0000  0.0000  0.00
Cl  0.5000  0.5000  0.0000  0.00
Se  0.8890  0.3890  0.5000  0.06
Se  0.6110  0.8890  0.5000  0.06
Se  0.1110  0.6110  0.5000  0.06
Se  0.3890  0.1110  0.5000  0.06
Hg  0.6992  0.1992  0.0000  0.01
Hg  0.3008  0.8008  0.0000  0.01
Hg  0.1992  0.3008  0.0000  0.01
Hg  0.8008  0.6992  0.0000  0.01

***

## x
A plane-wave DFT calculation with PBE-GGA was carried out for Hg2Se2Cl after structural relaxation.

Lattice parameters (Å, degrees): 6.6995 7.9970 7.4243 94.24 60.70 73.01
Sites, in units of the cell vectors:
Se  0.3607  0.4151  0.3362
Se  0.2039  0.9936  0.3748
Se  0.7961  0.0064  0.6252
Se  0.6393  0.5849  0.6638
Hg  0.5294  0.2821  0.5619
Hg  0.2888  0.8107  0.0184
Hg  0.7112  0.1893  0.9816
Hg  0.4706  0.7179  0.4381
Cl  0.1651  0.1640  0.8969
Cl  0.8349  0.8360  0.1031

***

It turns out x is the most stable, with the second structure 0.403 eV/atom higher.